Record 1
A geometry-optimized LiBIr structure, computed with PBEsol.

abc: 6.9344 6.0516 5.5037
angles: 73.58 56.84 49.58
Element x y z (fractional)
Li  0.0000  0.0000  0.0000
Li  0.0000  0.0000  0.5000
Li  0.0000  0.5000  0.0000
Li  0.5000  0.0000  0.0000
B  0.1981  0.5519  0.1981
B  0.4481  0.8019  0.4481
B  0.5519  0.1981  0.5519
B  0.8019  0.4481  0.8019
Ir  0.2423  0.2423  0.5077
Ir  0.4923  0.4923  0.7577
Ir  0.5077  0.5077  0.2423
Ir  0.7577  0.7577  0.4923

Output
- Density: 9.5 Mg/m³
- Density of states at the Fermi level: 1.27 states/eV/cell
- V: 146.25 Å³/cell
- Energy of formation from the pure elements: -488 meV/atom



Record 2
A geometry-optimized Al2Ag structure, computed with PBEsol.

abc: 2.8366 3.9811 17.3133
angles: 90.00 90.00 90.00
Element x y z (fractional)
Al  0.2500  0.2500  0.0403
Al  0.2500  0.2500  0.5423
Al  0.2500  0.2500  0.7082
Al  0.2500  0.2500  0.8745
Al  0.7500  0.7500  0.1255
Al  0.7500  0.7500  0.2918
Al  0.7500  0.7500  0.4577
Al  0.7500  0.7500  0.9597
Ag  0.2500  0.2500  0.2066
Ag  0.2500  0.2500  0.3770
Ag  0.7500  0.7500  0.6230
Ag  0.7500  0.7500  0.7934

Output
- Density: 5.5 Mg/m³
- Density of states at the Fermi level: 4.02 states/eV/cell
- V: 195.52 Å³/cell
- Energy of formation from the pure elements: -21 meV/atom



Record 3
A geometry-optimized CrHg2Ir structure, computed with PBEsol.

abc: 3.0263 3.8746 5.7831
angles: 90.00 90.00 90.00
Element x y z (fractional)
Cr  0.0000  0.0000  0.0000
Hg  0.5000  0.5000  0.2508
Hg  0.5000  0.5000  0.7492
Ir  0.0000  0.0000  0.5000

Output
- Density: 15.8 Mg/m³
- Offset from the most stable computed form: 0.56 kcal/mol of atoms
- Density of states at the Fermi level: 2.54 states/eV/cell
- V: 67.81 Å³/cell
- Energy of formation from the pure elements: 473 meV/atom



Record 4
A geometry-optimized BeIr2W structure, computed with PBEsol.

abc: 2.8232 4.3115 8.5441
angles: 90.00 90.00 90.00
Element x y z (fractional)
Be  0.0000  0.0000  0.0000
Be  0.5000  0.5000  0.5000
Ir  0.0000  0.0000  0.4893
Ir  0.0000  0.5000  0.7064
Ir  0.5000  0.0000  0.2064
Ir  0.5000  0.5000  0.9893
W  0.0000  0.5000  0.2643
W  0.5000  0.0000  0.7643

Output
- Density: 18.4 Mg/m³
- Density of states at the Fermi level: 6.45 states/eV/cell
- V: 104.00 Å³/cell
- Energy of formation from the pure elements: -173 meV/atom



Record 5
A geometry-optimized MgMoBr structure, computed with PBEsol.

abc: 3.1168 3.1168 11.9051
angles: 90.00 90.00 90.00
Element x y z (fractional)
Mg  0.0000  0.0000  0.0000
Mg  0.5000  0.5000  0.5000
Mo  0.0000  0.0000  0.6585
Mo  0.5000  0.5000  0.1585
Br  0.0000  0.0000  0.2753
Br  0.5000  0.5000  0.7753

Output
- Density: 5.7 Mg/m³
- Formation energy without anion corrections: 0.34 eV per atom
- Density of states at the Fermi level: 5.43 states/eV/cell
- V: 115.65 Å³/cell



Record 6
A geometry-optimized NiMo2Rh structure, computed with PBEsol.

abc: 2.6717 2.6717 7.5697
angles: 90.00 90.00 90.00
Element x y z (fractional)
Ni  0.0000  0.0000  0.0000
Mo  0.5000  0.5000  0.2413
Mo  0.5000  0.5000  0.7587
Rh  0.0000  0.0000  0.5000

Output
- Density: 10.9 Mg/m³
- Offset from the most stable computed form: 0.90 kcal/mol of atoms
- Density of states at the Fermi level: 3.64 states/eV/cell
- V: 54.03 Å³/cell
- Energy of formation from the pure elements: -77 meV/atom



Record 7
A geometry-optimized SrPb structure, computed with PBEsol.

abc: 5.3204 5.3204 6.3609
angles: 90.00 90.00 120.00
Element x y z (fractional)
Sr  0.3333  0.6667  0.2500
Sr  0.6667  0.3333  0.7500
Pb  0.0000  0.0000  0.0000
Pb  0.0000  0.0000  0.5000

Output
- Density: 6.3 Mg/m³
- Density of states at the Fermi level: 4.80 states/eV/cell
- V: 155.93 Å³/cell
- Energy of formation from the pure elements: -377 meV/atom



Record 8
A geometry-optimized GeSb2Pd structure, computed with PBEsol.

abc: 6.1182 6.1182 11.7227
angles: 90.00 90.00 90.00
Element x y z (fractional)
Ge  0.0000  0.0000  0.0000
Ge  0.0000  0.5000  0.2500
Ge  0.5000  0.0000  0.7500
Ge  0.5000  0.5000  0.5000
Sb  0.2338  0.2500  0.6250
Sb  0.2500  0.7338  0.8750
Sb  0.2500  0.7662  0.3750
Sb  0.2662  0.2500  0.1250
Sb  0.7338  0.7500  0.1250
Sb  0.7500  0.2338  0.3750
Sb  0.7500  0.2662  0.8750
Sb  0.7662  0.7500  0.6250
Pd  0.0000  0.0000  0.5000
Pd  0.0000  0.5000  0.7500
Pd  0.5000  0.0000  0.2500
Pd  0.5000  0.5000  0.0000

Output
- Density: 6.4 Mg/m³
- Formation energy without anion corrections: 0.00 eV per atom
- Density of states at the Fermi level: 5.79 states/eV/cell
- V: 438.80 Å³/cell



Record 9
A geometry-optimized ZrInSn3 structure, computed with PBEsol.

abc: 5.3708 5.3708 5.3708
angles: 90.00 90.00 90.00
Element x y z (fractional)
Zr  0.0000  0.0000  0.0000
In  0.5000  0.5000  0.5000
Sn  0.0000  0.5000  0.5000
Sn  0.5000  0.0000  0.5000
Sn  0.5000  0.5000  0.0000

Output
- Density: 6.0 Mg/m³
- Density of states at the Fermi level: 6.14 states/eV/cell
- V: 154.93 Å³/cell
- Energy of formation from the pure elements: 950 meV/atom



Record 10
A geometry-optimized MgAgHg structure, computed with PBEsol.

abc: 4.7226 4.7226 3.0376
angles: 90.00 90.00 120.00
Element x y z (fractional)
Mg  0.0000  0.0000  0.0000
Ag  0.3333  0.6667  0.5093
Hg  0.6667  0.3333  0.4881

Output
- Density: 9.4 Mg/m³
- Offset from the most stable computed form: 1.46 kcal/mol of atoms
- Density of states at the Fermi level: 0.82 states/eV/cell
- V: 58.67 Å³/cell
- Energy of formation from the pure elements: -162 meV/atom



Record 11
A geometry-optimized NiOs structure, computed with PBEsol.

abc: 3.6317 3.6317 7.4067
angles: 90.00 90.00 90.00
Element x y z (fractional)
Ni  0.0000  0.2500  0.3750
Ni  0.0000  0.7500  0.6250
Ni  0.5000  0.2500  0.1250
Ni  0.5000  0.7500  0.8750
Os  0.0000  0.2500  0.8750
Os  0.0000  0.7500  0.1250
Os  0.5000  0.2500  0.6250
Os  0.5000  0.7500  0.3750

Output
- Density: 16.9 Mg/m³
- Density of states at the Fermi level: 7.77 states/eV/cell
- V: 97.69 Å³/cell
- Energy of formation from the pure elements: 81 meV/atom



Record 12
A geometry-optimized ScCoBi2Br structure, computed with PBEsol.

abc: 5.6088 5.6088 4.9663
angles: 90.00 90.00 90.00
Element x y z (fractional)
Sc  0.0000  0.0000  0.0000
Co  0.5000  0.5000  0.5000
Bi  0.0000  0.5000  0.0000
Bi  0.5000  0.0000  0.0000
Br  0.0000  0.0000  0.5000

Output
- Density: 6.4 Mg/m³
- Formation energy without anion corrections: 0.62 eV per atom
- Density of states at the Fermi level: 4.77 states/eV/cell
- V: 156.23 Å³/cell